No. 1
Computed, not measured: a relaxed Rb2Tl6PtPb crystal at the PBE level of DFT.

Unit cell a=14.7538 b=14.7538 c=14.7538 alpha=30.35 beta=30.35 gamma=30.35
Last column: nearest neighbours and their distance in Å.
Sites, in units of the cell vectors:
Rb 0.1009 0.1009 0.1009  12 Tl 4.07-4.40, 1 Pt 4.26, 3 Pb 4.48
Rb 0.2758 0.2758 0.2758  12 Tl 3.89-4.10
Rb 0.7242 0.7242 0.7242  12 Tl 3.89-4.10
Rb 0.8991 0.8991 0.8991  12 Tl 4.07-4.40, 1 Pt 4.26, 3 Pb 4.48
Tl 0.0873 0.6635 0.6635  1 Pt 2.84
Tl 0.2185 0.2185 0.6413  1 Pt 2.80
Tl 0.2185 0.6413 0.2185  1 Pt 2.80
Tl 0.3365 0.3365 0.9127  1 Pt 2.84
Tl 0.3365 0.9127 0.3365  1 Pt 2.84
Tl 0.3587 0.7815 0.7815  1 Pt 2.80
Tl 0.6413 0.2185 0.2185  1 Pt 2.80
Tl 0.6635 0.0873 0.6635  1 Pt 2.84
Tl 0.6635 0.6635 0.0873  1 Pt 2.84
Tl 0.7815 0.3587 0.7815  1 Pt 2.80
Tl 0.7815 0.7815 0.3587  1 Pt 2.80
Tl 0.9127 0.3365 0.3365  1 Pt 2.84
Pt 0.0000 0.0000 0.0000  6 Tl 2.80
Pt 0.5000 0.5000 0.5000  6 Tl 2.84, 2 Pb 3.15
Pb 0.4253 0.4253 0.4253  1 Pt 3.15, 6 Tl 3.22-3.36
Pb 0.5747 0.5747 0.5747  1 Pt 3.15, 6 Tl 3.22-3.36

For the electronic total energy, the calculation gives -52.57 eV for the cell shown. The formation enthalpy at 0 K is -0.040 eV/atom. The total magnetic moment comes out at 0.000 μB/f.u.

***

No. 2
Computed, not measured: a relaxed RbZn2PtPb crystal at the PBE level of DFT.

Unit cell a=5.0679 b=5.0679 c=5.4192 alpha=90.00 beta=90.00 gamma=90.00
Last column: nearest neighbours and their distance in Å.
Sites, in units of the cell vectors:
Rb 0.0000 0.0000 0.0000  4 Pb 3.58, 8 Zn 3.71
Zn 0.0000 0.5000 0.5000  2 Pt 2.53
Zn 0.5000 0.0000 0.5000  2 Pt 2.53
Pt 0.5000 0.5000 0.5000  4 Zn 2.53, 2 Pb 2.71
Pb 0.5000 0.5000 0.0000  2 Pt 2.71

For the electronic total energy, the calculation gives -13.87 eV for the cell shown. The formation enthalpy at 0 K is -0.120 eV/atom. The total magnetic moment comes out at 0.000 μB/f.u.

***

No. 3
Computed, not measured: a relaxed RbZnPtPb2 crystal at the PBE level of DFT.

Unit cell a=6.1174 b=6.1174 c=5.4679 alpha=90.00 beta=90.00 gamma=90.00
Last column: nearest neighbours and their distance in Å.
Sites, in units of the cell vectors:
Rb 0.0000 0.0000 0.0000  2 Zn 2.73, 4 Pb 3.06
Zn 0.0000 0.0000 0.5000  2 Rb 2.73
Pt 0.5000 0.5000 0.5000  8 Pb 4.10, 4 Zn 4.33
Pb 0.0000 0.5000 0.0000  2 Rb 3.06
Pb 0.5000 0.0000 0.0000  2 Rb 3.06

For the electronic total energy, the calculation gives -7.58 eV for the cell shown. The formation enthalpy at 0 K is 1.624 eV/atom. The total magnetic moment comes out at 0.000 μB/f.u.

***

No. 4
Computed, not measured: a relaxed Re4PtPb crystal at the PBE level of DFT.

Unit cell a=5.2824 b=5.2824 c=5.2824 alpha=60.00 beta=60.00 gamma=60.00
Last column: nearest neighbours and their distance in Å.
Sites, in units of the cell vectors:
Re 0.3774 0.3774 0.3774  6 Re 2.59-2.69
Re 0.3774 0.3774 0.8678  6 Re 2.59-2.69
Re 0.3774 0.8678 0.3774  6 Re 2.59-2.69
Re 0.8678 0.3774 0.3774  6 Re 2.59-2.69
Pt 0.7500 0.7500 0.7500  12 Re 3.09, 4 Pb 3.23
Pb 0.0000 0.0000 0.0000  12 Re 3.10, 4 Pt 3.23

For the electronic total energy, the calculation gives -54.71 eV for the cell shown. The formation enthalpy at 0 K is 0.805 eV/atom. The total magnetic moment comes out at 0.000 μB/f.u.